{"formula": "Er4ZnAg", "functional": "GGA-PBE", "state": "relaxed", "e_form_ev_per_atom": -0.19, "sg": "No. 123", "final_energy_ev_per_cell": -23.55, "relative_energy_mev_per_atom": 0, "lattice_angstrom": [[-3.1834, 0.6172, 1.4104], [-0.0916, -3.3097, 1.2415], [5.3503, 3.7639, 10.4297]], "species": ["Er", "Er", "Er", "Er", "Zn", "Ag"], "fractional_positions": [[0.5000, 0.5000, 0.8572], [0.0000, 0.0000, 0.3488], [0.0000, 0.0000, 0.6512], [0.5000, 0.5000, 0.1428], [0.0000, 0.0000, 0.0000], [0.5000, 0.5000, 0.5000]]}